Below is LaSmZn2Ga2 after structural relaxation, with properties calculated at the GGA-PBE level.

The calculation puts the total DFT energy (no corrections) at -3.61 eV/atom. As for the volume: 22.4 A^3/atom. The space group is No. 156. The value obtained for the mass density is 6.9 g/cm³.

Cell: 4.533 4.533 7.554 Å, 90.00 90.00 120.00°
Fractional coordinates of all 6 atoms:
La 0.000 0.000 0.000
Sm 0.000 0.000 0.499
Zn 0.333 0.667 0.766
Zn 0.667 0.333 0.294
Ga 0.333 0.667 0.231
Ga 0.667 0.333 0.708